Entry 1:
The following is a GGA-PBE calculation of Ga5CoPd2 after structural relaxation, from Alexandria via LeMat-Bulk.

Cell: 6.0044 6.0044 9.9890 Å, 90.00 90.00 134.62°
Last column: nearest neighbours and their distance in Å.
Sites, in units of the cell vectors:
Ga1 0.0401 0.9599 0.6163  1 Co 2.34, 1 Ga 2.49, 1 Pd 2.61
Ga2 0.0401 0.9599 0.8837  1 Co 2.34, 1 Ga 2.49, 1 Pd 2.61
Ga3 0.3700 0.6300 0.2500  2 Co 2.50, 2 Pd 2.57
Ga4 0.3905 0.6095 0.6033  1 Co 2.45, 2 Pd 2.54
Ga5 0.3905 0.6095 0.8967  1 Co 2.45, 2 Pd 2.54
Ga6 0.6095 0.3905 0.1033  1 Co 2.45, 2 Pd 2.54
Ga7 0.6095 0.3905 0.3967  1 Co 2.45, 2 Pd 2.54
Ga8 0.6300 0.3700 0.7500  2 Co 2.50, 2 Pd 2.57
Ga9 0.9599 0.0401 0.1163  1 Co 2.34, 1 Ga 2.49, 1 Pd 2.61
Ga10 0.9599 0.0401 0.3837  1 Co 2.34, 1 Ga 2.49, 1 Pd 2.61
Co1 0.2137 0.7863 0.7500  6 Ga 2.34-2.50
Co2 0.7863 0.2137 0.2500  6 Ga 2.34-2.50
Pd1 0.2008 0.7992 0.0745  6 Ga 2.54-2.75
Pd2 0.2008 0.7992 0.4255  6 Ga 2.54-2.75
Pd3 0.7992 0.2008 0.5745  6 Ga 2.54-2.75
Pd4 0.7992 0.2008 0.9255  6 Ga 2.54-2.75

Properties
The calculation puts the total energy at -34.7 eV/f.u. As for the density of states at the Fermi level: 7.05 states/eV/cell.


Entry 2:
The following is a GGA-PBE calculation of SmTlCdHg after structural relaxation, from Alexandria via LeMat-Bulk.

Cell: 7.4115 7.4115 7.4115 Å, 90.00 90.00 90.00°
Last column: nearest neighbours and their distance in Å.
Sites, in units of the cell vectors:
Sm1 0.0000 0.0000 0.0000  4 Tl 3.21, 4 Hg 3.21
Sm2 0.0000 0.5000 0.5000  4 Tl 3.21, 4 Hg 3.21
Sm3 0.5000 0.0000 0.5000  4 Tl 3.21, 4 Hg 3.21
Sm4 0.5000 0.5000 0.0000  4 Tl 3.21, 4 Hg 3.21
Tl1 0.2500 0.2500 0.7500  4 Cd 3.21, 4 Sm 3.21
Tl2 0.2500 0.7500 0.2500  4 Cd 3.21, 4 Sm 3.21
Tl3 0.7500 0.2500 0.2500  4 Cd 3.21, 4 Sm 3.21
Tl4 0.7500 0.7500 0.7500  4 Sm 3.21, 4 Cd 3.21
Cd1 0.0000 0.0000 0.5000  4 Hg 3.21, 4 Tl 3.21
Cd2 0.0000 0.5000 0.0000  4 Hg 3.21, 4 Tl 3.21
Cd3 0.5000 0.0000 0.0000  4 Hg 3.21, 4 Tl 3.21
Cd4 0.5000 0.5000 0.5000  4 Hg 3.21, 4 Tl 3.21
Hg1 0.2500 0.2500 0.2500  4 Cd 3.21, 4 Sm 3.21
Hg2 0.2500 0.7500 0.7500  4 Cd 3.21, 4 Sm 3.21
Hg3 0.7500 0.2500 0.7500  4 Cd 3.21, 4 Sm 3.21
Hg4 0.7500 0.7500 0.2500  4 Cd 3.21, 4 Sm 3.21

Properties
The calculation puts the total energy at -9.5 eV/f.u. As for the density of states at the Fermi level: 2.20 states/eV/cell.


Entry 3:
The following is a GGA-PBE calculation of MgAgAs2W after structural relaxation, from Alexandria via LeMat-Bulk.

Cell: 4.8420 4.8420 5.2663 Å, 90.00 90.00 90.00°
Last column: nearest neighbours and their distance in Å.
Sites, in units of the cell vectors:
Mg1 0.0000 0.0000 0.0000  2 W 2.63
Ag1 0.5000 0.5000 0.0000  4 Mg 3.42, 8 As 3.58
As1 0.0000 0.5000 0.5000  2 W 2.42
As2 0.5000 0.0000 0.5000  2 W 2.42
W1 0.0000 0.0000 0.5000  4 As 2.42, 2 Mg 2.63

Properties
The calculation puts the total energy at -23.9 eV/f.u. As for the density of states at the Fermi level: 3.55 states/eV/cell.